[1]
Here is a relaxed structure of HoPaZnOs from Alexandria via LeMat-Bulk. Energies are from GGA-PBE. Values from VASP.

```
&SYSTEM
  ibrav = 0, nat = 4, ntyp = 4
/
ATOMIC_SPECIES
Ho 164.93 Ho.upf
Pa 231.04 Pa.upf
Zn 65.41 Zn.upf
Os 190.23 Os.upf
ATOMIC_POSITIONS crystal
Ho 0.000 0.000 0.000
Pa 0.500 0.500 0.500
Zn 0.250 0.250 0.250
Os 0.750 0.750 0.750
CELL_PARAMETERS angstrom
0.000 3.472 3.472
3.472 0.000 3.472
3.472 3.472 0.000
```

Values from the calculation:
The calculation puts the energy of formation at -173 meV/atom. For the magnetic moment, the calculation gives 0.00 μB per cell. As for the symmetry: F-43m. The value obtained for the density of states at the Fermi level is 3.82 states/eV/cell.

=====

[2]
Here is a relaxed structure of TbPrZn2In2 from Alexandria via LeMat-Bulk. Energies are from GGA-PBE. Values from VASP.

```
&SYSTEM
  ibrav = 0, nat = 6, ntyp = 4
/
ATOMIC_SPECIES
Tb 158.93 Tb.upf
Pr 140.91 Pr.upf
Zn 65.41 Zn.upf
In 114.82 In.upf
ATOMIC_POSITIONS crystal
Tb 0.000 0.000 0.000
Pr 0.000 0.000 0.500
Zn 0.333 0.667 0.780
Zn 0.667 0.333 0.220
In 0.333 0.667 0.236
In 0.667 0.333 0.764
CELL_PARAMETERS angstrom
4.717 0.000 0.000
-2.359 4.085 0.000
0.000 0.000 7.502
```

Values from the calculation:
The calculation puts the energy of formation at -453 meV/atom. For the magnetic moment, the calculation gives 0.00 μB per cell. As for the symmetry: P-3m1. The value obtained for the density of states at the Fermi level is 3.55 states/eV/cell.

=====

Number 2 is which compound?
TbPrZn2In2

=====

Which of these has the lowest energy of formation?
TbPrZn2In2

=====

Number 1 is which compound?
HoPaZnOs